No. 1
Material: Sr2CdP
Method: DFT, GGA-PBE
State: relaxed

Values from the calculation:
As for the mass density: 4.5 g cm⁻³. The energy above the most stable polymorph in this dataset comes out at 151 meV per atom. The space group is Fm-3m (225). Its formation energy is -0.508 eV per atom.

a b c (Å): 5.4918 5.4918 5.4918
angles (deg): 60.00 60.00 60.00
Fractional coordinates of all 4 atoms:
Sr: 0.7500 0.7500 0.7500
Sr: 0.2500 0.2500 0.2500
Cd: 0.5000 0.5000 0.5000
P: 0.0000 0.0000 0.0000

No. 2
Material: SrLiMg14
Method: DFT, GGA-PBE
State: relaxed

Values from the calculation:
As for the mass density: 1.8 g cm⁻³. The energy above the most stable polymorph in this dataset comes out at 3 meV per atom. The space group is Amm2 (38). Its formation energy is 0.029 eV per atom.

a b c (Å): 6.6193 6.6193 10.5844
angles (deg): 90.00 90.00 122.26
Fractional coordinates of all 16 atoms:
Mg: 0.6741 0.3259 0.2635
Mg: 0.1643 0.8357 0.2378
Mg: 0.1694 0.3251 0.7597
Mg: 0.3164 0.1745 0.5000
Mg: 0.8297 0.6603 0.0000
Mg: 0.3327 0.6673 0.0000
Mg: 0.1694 0.3251 0.2403
Mg: 0.3397 0.1703 0.0000
Mg: 0.6749 0.8306 0.2403
Mg: 0.8255 0.6836 0.5000
Mg: 0.8308 0.1692 0.0000
Mg: 0.6741 0.3259 0.7365
Mg: 0.1643 0.8357 0.7622
Mg: 0.6749 0.8306 0.7597
Sr: 0.3206 0.6794 0.5000
Li: 0.8393 0.1607 0.5000

No. 3
Material: Pm3Si3Os
Method: DFT, GGA-PBE
State: relaxed

Values from the calculation:
As for the mass density: 6.5 g cm⁻³. The energy relative to the elements, uncorrected comes out at -0.3105 eV/atom. The energy above the most stable polymorph in this dataset comes out at 421 meV per atom. The space group is P6_3/m (176).

a b c (Å): 5.8434 8.4946 8.4946
angles (deg): 120.00 90.00 90.00
Fractional coordinates of all 14 atoms:
Pm: 0.7500 0.4008 0.0950
Pm: 0.7500 0.6942 0.5992
Pm: 0.7500 0.9050 0.3058
Pm: 0.2500 0.0950 0.6942
Pm: 0.2500 0.3058 0.4008
Pm: 0.2500 0.5992 0.9050
Os: 0.2500 0.6667 0.3333
Os: 0.7500 0.3333 0.6667
Si: 0.2500 0.3714 0.0892
Si: 0.7500 0.0892 0.7178
Si: 0.2500 0.7178 0.6286
Si: 0.7500 0.6286 0.9108
Si: 0.2500 0.9108 0.2822
Si: 0.7500 0.2822 0.3714

No. 4
Material: SrBiSbI2
Method: DFT, GGA-PBE
State: relaxed

Values from the calculation:
As for the mass density: 4.6 g cm⁻³. The energy relative to the elements, uncorrected comes out at 0.0115 eV/atom. The energy above the most stable polymorph in this dataset comes out at 265 meV per atom. The space group is P4/mmm (123).

a b c (Å): 6.0469 6.0469 6.7086
angles (deg): 90.00 90.00 90.00
Last column: magnetic moment on the atom in μB.
Fractional coordinates of all 5 atoms:
Bi: 0.5000 0.5000 0.5000  0.17
Sr: 0.0000 0.0000 0.0000  0.01
I: 0.5000 0.0000 0.0000  0.02
I: 0.0000 0.5000 0.0000  0.02
Sb: 0.0000 0.0000 0.5000  0.24